The following is a PBEsol calculation of crystalline Sr2TiNi at its relaxed geometry, from Alexandria.

Output
M_tot, μB/f.u.: 3.68
ΔE_f, eV per formula unit: 3.1

abc: 5.320 5.320 5.320
angles: 60.00 60.00 60.00
Sites, in units of the cell vectors:
Ni (0.500, 0.500, 0.500)
Ti (0.000, 0.000, 0.000)
Sr (0.750, 0.750, 0.750)
Sr (0.250, 0.250, 0.250)



The following is a PBEsol calculation of crystalline SrLa2HF at its relaxed geometry, from Alexandria.

Output
Final energy, eV for the cell shown: -16.28
M_tot, μB/f.u.: 0.94

abc: 3.948 6.007 6.007
angles: 90.00 90.00 90.00
Sites, in units of the cell vectors:
Sr (0.000, 0.000, 0.000)
La (0.000, 0.000, 0.500)
La (0.000, 0.500, 0.000)
H (0.500, 0.000, 0.000)
F (0.500, 0.500, 0.500)



Q: What is the formula in the first record?
A: Sr2TiNi